# 1
Computed, not measured: crystalline DyF3 at its relaxed geometry at the PBE level of DFT.

The structure in CIF format:
```
data_DyF3
_chemical_formula_sum 'Dy4 F12'
_space_group_name_H-M_alt 'P 1'
_space_group_IT_number 1
_cell_length_a 5.312
_cell_length_b 5.312
_cell_length_c 9.216
_cell_angle_alpha 90.00
_cell_angle_beta 90.00
_cell_angle_gamma 90.00
loop_
_space_group_symop_operation_xyz
'x,y,z'
loop_
_atom_site_label
_atom_site_fract_x
_atom_site_fract_y
_atom_site_fract_z
Dy1 0.000 0.000 0.184
Dy2 0.000 0.000 0.816
Dy3 0.500 0.500 0.316
Dy4 0.500 0.500 0.684
F1 0.185 0.185 0.000
F2 0.214 0.214 0.336
F3 0.214 0.214 0.664
F4 0.286 0.714 0.164
F5 0.286 0.714 0.836
F6 0.315 0.685 0.500
F7 0.685 0.315 0.500
F8 0.714 0.286 0.164
F9 0.714 0.286 0.836
F10 0.786 0.786 0.336
F11 0.786 0.786 0.664
F12 0.815 0.815 0.000
```

The value obtained for the total magnetic moment is 0.0 μB per formula unit. As for the energy: -6.5605 eV per atom.


# 2
Computed, not measured: crystalline DyF2 at its relaxed geometry at the PBE level of DFT.

The structure in CIF format:
```
data_DyF2
_chemical_formula_sum 'Dy1 F2'
_space_group_name_H-M_alt 'P 1'
_space_group_IT_number 1
_cell_length_a 4.226
_cell_length_b 4.226
_cell_length_c 4.226
_cell_angle_alpha 137.12
_cell_angle_beta 137.12
_cell_angle_gamma 62.25
loop_
_space_group_symop_operation_xyz
'x,y,z'
loop_
_atom_site_label
_atom_site_fract_x
_atom_site_fract_y
_atom_site_fract_z
Dy1 0.000 0.000 0.000
F1 0.337 0.337 0.000
F2 0.663 0.663 0.000
```

The value obtained for the total magnetic moment is 0.0 μB per formula unit. As for the energy: -5.8960 eV per atom.


# 3
Computed, not measured: crystalline DyF2 at its relaxed geometry at the PBE level of DFT.

The structure in CIF format:
```
data_DyF2
_chemical_formula_sum 'Dy2 F4'
_space_group_name_H-M_alt 'P 1'
_space_group_IT_number 1
_cell_length_a 4.702
_cell_length_b 4.702
_cell_length_c 4.702
_cell_angle_alpha 60.00
_cell_angle_beta 60.00
_cell_angle_gamma 60.00
loop_
_space_group_symop_operation_xyz
'x,y,z'
loop_
_atom_site_label
_atom_site_fract_x
_atom_site_fract_y
_atom_site_fract_z
Dy1 0.125 0.125 0.125
Dy2 0.875 0.875 0.875
F1 0.000 0.500 0.500
F2 0.500 0.000 0.500
F3 0.500 0.500 0.000
F4 0.500 0.500 0.500
```

The value obtained for the total magnetic moment is 1.0 μB per formula unit. As for the energy: -4.5199 eV per atom.


What did the second record say?
Computed, not measured: crystalline DyF2 at its relaxed geometry at the PBE level of DFT.

The structure in CIF format:
```
data_DyF2
_chemical_formula_sum 'Dy1 F2'
_space_group_name_H-M_alt 'P 1'
_space_group_IT_number 1
_cell_length_a 4.226
_cell_length_b 4.226
_cell_length_c 4.226
_cell_angle_alpha 137.12
_cell_angle_beta 137.12
_cell_angle_gamma 62.25
loop_
_space_group_symop_operation_xyz
'x,y,z'
loop_
_atom_site_label
_atom_site_fract_x
_atom_site_fract_y
_atom_site_fract_z
Dy1 0.000 0.000 0.000
F1 0.337 0.337 0.000
F2 0.663 0.663 0.000
```

The value obtained for the total magnetic moment is 0.0 μB per formula unit. As for the energy: -5.8960 eV per atom.